1.
{"formula": "LiLaCu2Si2", "functional": "PBE", "state": "relaxed", "spacegroup": "P-3m1, No. 164", "e_form_raw_kj_per_mol_fu": -268, "magnetic_moment_mub_per_cell": 0.0, "energy_ev_per_cell": -28.66, "cell": [[4.120, 0.000, 0.000], [-2.060, 3.568, 0.000], [0.000, 0.000, 6.960]], "species": ["Li", "La", "Cu", "Cu", "Si", "Si"], "frac_coords": [[0.000, 0.000, 0.000], [0.000, 0.000, 0.500], [0.333, 0.667, 0.154], [0.667, 0.333, 0.846], [0.333, 0.667, 0.795], [0.667, 0.333, 0.205]]}

2.
{"formula": "SrScOs2", "functional": "PBE", "state": "relaxed", "spacegroup": "Pmm2, No. 25", "magnetic_moment_mub_per_cell": 0.0, "delta_e_f_ev_per_atom": 0.3222, "energy_ev_per_cell": -29.18, "cell": [[2.976, 0.000, 0.000], [0.000, 3.797, 0.000], [0.000, 0.000, 8.092]], "species": ["Sr", "Sc", "Os", "Os"], "frac_coords": [[0.000, 0.000, 0.000], [0.500, 0.500, 0.614], [0.000, 0.000, 0.409], [0.500, 0.500, 0.291]]}

3.
{"formula": "Bi4Pt3", "functional": "PBE", "state": "relaxed", "spacegroup": "C2/m, No. 12", "polymorph_energy_mev_per_atom": 40, "magnetic_moment_mub_per_cell": 0.0, "delta_e_f_ev_per_atom": -0.2181, "energy_ev_per_cell": -35.17, "cell": [[6.713, -2.225, 0.000], [6.713, 2.225, 0.000], [-2.123, 0.000, 5.759]], "species": ["Bi", "Bi", "Bi", "Bi", "Pt", "Pt", "Pt"], "frac_coords": [[0.075, 0.075, 0.313], [0.332, 0.332, 0.192], [0.668, 0.668, 0.808], [0.925, 0.925, 0.687], [0.274, 0.274, 0.691], [0.500, 0.500, 0.000], [0.726, 0.726, 0.309]]}

4.
{"formula": "TiNb2GaGe", "functional": "PBE", "state": "relaxed", "spacegroup": "P4/mmm, No. 123", "magnetic_moment_mub_per_cell": 0.0, "delta_e_f_ev_per_atom": 0.8228, "energy_ev_per_cell": -31.56, "cell": [[4.810, 0.000, 0.000], [0.000, 4.810, 0.000], [0.000, 0.000, 4.506]], "species": ["Ti", "Nb", "Nb", "Ga", "Ge"], "frac_coords": [[0.000, 0.000, 0.000], [0.000, 0.500, 0.500], [0.500, 0.000, 0.500], [0.500, 0.500, 0.000], [0.500, 0.500, 0.500]]}

5.
{"formula": "Y2Zr2Rh", "functional": "PBE", "state": "relaxed", "spacegroup": "P4/mbm, No. 127", "magnetic_moment_mub_per_cell": 0.0, "delta_e_f_ev_per_atom": -0.2071, "energy_ev_per_cell": -76.82, "cell": [[6.855, 0.000, 0.000], [0.000, 6.855, 0.000], [0.000, 0.000, 5.311]], "species": ["Y", "Y", "Y", "Y", "Zr", "Zr", "Zr", "Zr", "Rh", "Rh"], "frac_coords": [[0.167, 0.333, 0.000], [0.333, 0.833, 0.000], [0.667, 0.167, 0.000], [0.833, 0.667, 0.000], [0.151, 0.651, 0.500], [0.349, 0.151, 0.500], [0.651, 0.849, 0.500], [0.849, 0.349, 0.500], [0.000, 0.000, 0.500], [0.500, 0.500, 0.500]]}

6.
{"formula": "SrSmS2", "functional": "PBE", "state": "relaxed", "spacegroup": "C2/m, No. 12", "e_form_raw_kj_per_mol_fu": -791, "polymorph_energy_mev_per_atom": 0, "magnetic_moment_mub_per_cell": 0.0, "energy_ev_per_cell": -22.86, "cell": [[3.543, -2.045, 0.000], [3.543, 2.045, 0.000], [-2.351, 0.000, 6.868]], "species": ["Sr", "Sm", "S", "S"], "frac_coords": [[0.000, 0.000, 0.000], [0.500, 0.500, 0.500], [0.246, 0.246, 0.737], [0.754, 0.754, 0.263]]}